Density functional theory data (PBE+U) for NiTeIrO6 after structural relaxation.

Cell and atoms, written as POSCAR:
```
NiTeIrO6
1.0
-1.241 3.036 -4.059
-3.610 -1.173 3.581
2.284 7.139 4.642
Ni Te Ir O
2 2 2 12
direct
0.000 0.000 0.000
0.000 0.000 0.500
0.667 0.333 0.250
0.333 0.667 0.750
0.333 0.667 0.250
0.667 0.333 0.750
0.653 0.652 0.131
0.999 0.347 0.131
0.347 0.999 0.631
0.001 0.653 0.869
0.348 0.347 0.369
0.999 0.652 0.369
0.652 0.999 0.869
0.653 0.001 0.369
0.001 0.348 0.631
0.348 0.001 0.131
0.652 0.653 0.631
0.347 0.348 0.869
```

Values from the calculation:
Total energy = -5.79 eV per atom